Computed, not measured: a geometry-optimized CaNd5Se8 structure at the GGA-PBE level of DFT.

## Properties
* formation energy from raw total energies: -1890 meV/atom

Cell: 7.7528 7.7528 7.7528 Å, 109.66 109.09 109.66°
Last column: nearest neighbours and their distance in Å.
Sites, in units of the cell vectors:
Se: 0.6200 0.8947 0.8708  1 Ca 2.98, 5 Nd 3.00-3.21
Se: 0.2747 0.2508 0.3800  1 Ca 2.98, 5 Nd 3.00-3.21
Se: 0.4805 0.6023 0.2332  5 Nd 3.00-3.20, 1 Ca 3.24
Se: 0.6309 0.3977 0.8783  5 Nd 3.00-3.20, 1 Ca 3.24
Se: 0.7668 0.2473 0.3691  5 Nd 3.00-3.20, 1 Ca 3.24
Se: 0.1217 0.7527 0.5195  5 Nd 3.00-3.20, 1 Ca 3.24
Se: 0.1292 0.7492 0.0239  1 Ca 2.98, 5 Nd 3.00-3.21
Se: 0.9761 0.1053 0.7253  1 Ca 2.98, 5 Nd 3.00-3.21
Nd: 0.3712 0.1264 0.9992  8 Se 3.00-3.21
Nd: 0.5000 0.0000 0.5000  8 Se 3.00-3.18
Nd: 0.7552 0.6280 0.6288  8 Se 3.00-3.21
Nd: 0.8728 0.8736 0.2448  8 Se 3.00-3.21
Nd: 0.0008 0.3720 0.1272  8 Se 3.00-3.21
Ca: 0.2500 0.5000 0.7500  8 Se 2.98-3.24



Computed, not measured: a geometry-optimized CaNdSe2 structure at the GGA-PBE level of DFT.

## Properties
* formation energy from raw total energies: -1817 meV/atom

Cell: 4.1121 4.1121 7.7479 Å, 74.61 74.61 60.00°
Last column: nearest neighbours and their distance in Å.
Sites, in units of the cell vectors:
Ca: 0.4961 0.4961 0.5116  6 Se 2.94-3.06
Nd: 0.6691 0.6691 0.9926  6 Se 2.99-3.03
Se: 0.2504 0.2504 0.2488  3 Nd 3.03, 3 Ca 3.06
Se: 0.0843 0.0843 0.7470  3 Ca 2.94, 3 Nd 2.99



Computed, not measured: a geometry-optimized CaNdSe2 structure at the GGA-PBE level of DFT.

## Properties
* formation energy from raw total energies: -1906 meV/atom

Cell: 4.1805 4.1805 7.4071 Å, 73.68 73.68 59.99°
Last column: nearest neighbours and their distance in Å.
Sites, in units of the cell vectors:
Se: 0.7523 0.7523 0.7432  3 Ca 2.95-2.96, 3 Nd 3.01
Se: 0.2477 0.2477 0.2568  3 Ca 2.95-2.96, 3 Nd 3.01
Nd: 0.0000 0.0000 0.0000  6 Se 3.01
Ca: 0.5000 0.5000 0.5000  6 Se 2.95-2.96



Computed, not measured: a geometry-optimized Ca4Nd3Se8 structure at the GGA-PBE level of DFT.

## Properties
* formation energy from raw total energies: -1795 meV/atom

Cell: 8.4204 8.4204 9.0233 Å, 62.19 62.19 60.00°
Last column: nearest neighbours and their distance in Å.
Sites, in units of the cell vectors:
Se: 0.7475 0.2427 0.2623  3 Ca 2.88-3.13, 2 Nd 3.02
Se: 0.2427 0.7475 0.2623  3 Ca 2.88-3.13, 2 Nd 3.02
Se: 0.2525 0.7573 0.7377  3 Ca 2.88-3.13, 2 Nd 3.02
Se: 0.2525 0.2525 0.7377  3 Ca 2.88-3.13, 2 Nd 3.02
Se: 0.7475 0.7475 0.2623  3 Ca 2.88-3.13, 2 Nd 3.02
Se: 0.7573 0.2525 0.7377  3 Ca 2.88-3.13, 2 Nd 3.02
Se: 0.7647 0.7647 0.7060  1 Ca 2.71, 3 Nd 2.89
Se: 0.2353 0.2353 0.2940  1 Ca 2.71, 3 Nd 2.89
Ca: 0.6457 0.6457 0.0629  4 Se 2.71-2.88
Ca: 0.3543 0.3543 0.9371  4 Se 2.71-2.88
Ca: 0.5000 0.5000 0.5000  6 Se 3.05, 2 Ca 3.32
Ca: 0.0000 0.0000 0.0000  6 Se 3.13
Nd: 0.0000 0.0000 0.5000  6 Se 2.89-3.02
Nd: 0.5000 0.0000 0.5000  6 Se 2.89-3.02
Nd: 0.0000 0.5000 0.5000  6 Se 2.89-3.02



Computed, not measured: a geometry-optimized Ca5NdSe6 structure at the GGA-PBE level of DFT.

## Properties
* formation energy from raw total energies: -1975 meV/atom

Cell: 7.2999 7.2959 7.2949 Å, 60.00 80.41 70.53°
Last column: nearest neighbours and their distance in Å.
Sites, in units of the cell vectors:
Nd: 0.0000 0.0000 0.0000  6 Se 2.99
Se: 0.2509 0.2508 0.0000  5 Ca 2.97-2.98, 1 Nd 2.99
Se: 0.7491 0.7492 0.0000  5 Ca 2.97-2.98, 1 Nd 2.99
Se: 0.2507 0.9163 0.6657  5 Ca 2.97-2.98, 1 Nd 2.99
Se: 0.7493 0.4179 0.6657  5 Ca 2.97-2.98, 1 Nd 2.99
Se: 0.7493 0.0837 0.3343  5 Ca 2.97-2.98, 1 Nd 2.99
Se: 0.2507 0.5821 0.3343  5 Ca 2.97-2.98, 1 Nd 2.99
Ca: 0.0000 0.3332 0.3336  6 Se 2.98
Ca: 0.0000 0.6668 0.6664  6 Se 2.98
Ca: 0.5000 0.8333 0.3333  6 Se 2.97-2.98
Ca: 0.5000 0.5000 0.0000  6 Se 2.97-2.98
Ca: 0.5000 0.1667 0.6667  6 Se 2.97-2.98



Computed, not measured: a geometry-optimized CaNd2Se3 structure at the GGA-PBE level of DFT.

## Properties
* formation energy from raw total energies: -1885 meV/atom

Cell: 4.1834 5.9624 7.3555 Å, 113.91 106.52 90.00°
Last column: nearest neighbours and their distance in Å.
Sites, in units of the cell vectors:
Nd: 0.1678 0.1678 0.8355  6 Se 2.98-3.02
Nd: 0.8322 0.8322 0.1645  6 Se 2.98-3.02
Se: 0.1613 0.6613 0.8226  2 Ca 2.94, 4 Nd 2.98-3.02
Se: 0.5000 0.0000 0.5000  2 Ca 2.98, 4 Nd 3.00
Se: 0.8387 0.3387 0.1774  2 Ca 2.94, 4 Nd 2.98-3.02
Ca: 0.5000 0.5000 0.5000  6 Se 2.94-2.98



Computed, not measured: a geometry-optimized CaNd4Se5 structure at the GGA-PBE level of DFT.

## Properties
* formation energy from raw total energies: -1870 meV/atom

Cell: 4.2190 4.2190 15.2924 Å, 97.93 97.93 90.00°
Last column: nearest neighbours and their distance in Å.
Sites, in units of the cell vectors:
Se: 0.0978 0.0978 0.1955  1 Ca 2.93, 5 Nd 2.99-3.02
Se: 0.9022 0.9022 0.8045  1 Ca 2.93, 5 Nd 2.99-3.02
Se: 0.5000 0.5000 0.0000  4 Ca 2.98, 2 Nd 3.07
Se: 0.2987 0.2987 0.5973  6 Nd 2.97-3.00
Se: 0.7013 0.7013 0.4027  6 Nd 2.97-3.00
Nd: 0.8014 0.8014 0.6029  6 Se 2.98-3.02
Nd: 0.1986 0.1986 0.3971  6 Se 2.98-3.02
Nd: 0.3978 0.3978 0.7956  6 Se 2.97-3.07
Nd: 0.6022 0.6022 0.2044  6 Se 2.97-3.07
Ca: 0.0000 0.0000 0.0000  6 Se 2.93-2.98



Computed, not measured: a geometry-optimized Ca4NdSe5 structure at the GGA-PBE level of DFT.

## Properties
* formation energy from raw total energies: -1966 meV/atom

Cell: 5.9570 7.2983 7.2983 Å, 80.41 65.91 65.91°
Last column: nearest neighbours and their distance in Å.
Sites, in units of the cell vectors:
Se: 0.3023 0.7998 0.5976  5 Ca 2.97-2.98, 1 Nd 2.99
Se: 0.6997 0.2002 0.4024  5 Ca 2.97-2.98, 1 Nd 2.99
Se: 0.8999 0.4024 0.7998  5 Ca 2.97-2.98, 1 Nd 2.99
Se: 0.5011 0.0000 0.0000  2 Nd 2.98, 4 Ca 2.99
Se: 0.1021 0.5976 0.2002  5 Ca 2.97-2.98, 1 Nd 2.99
Ca: 0.4006 0.4012 0.7997  6 Se 2.97-2.99
Ca: 0.8017 0.7997 0.5988  6 Se 2.97-2.99
Ca: 0.6015 0.5988 0.2003  6 Se 2.97-2.99
Ca: 0.2003 0.2003 0.4012  6 Se 2.97-2.99
Nd: 0.0011 0.0000 0.0000  6 Se 2.98-2.99



Computed, not measured: a geometry-optimized CaNdSm4Se8 structure at the GGA-PBE level of DFT.

## Properties
* formation energy from raw total energies: -1800 meV/atom

Cell: 8.6214 8.6214 8.6434 Å, 60.08 60.08 60.00°
Last column: nearest neighbours and their distance in Å.
Sites, in units of the cell vectors:
Se: 0.2270 0.7561 0.2608  3 Sm 2.81-2.98, 1 Nd 3.01
Se: 0.7751 0.2434 0.7382  1 Ca 2.82, 2 Sm 2.92, 1 Nd 2.95
Se: 0.2434 0.2434 0.7382  1 Ca 2.82, 2 Sm 2.92, 1 Nd 2.95
Se: 0.7561 0.2270 0.2608  3 Sm 2.81-2.98, 1 Nd 3.01
Se: 0.7582 0.7582 0.7255  4 Sm 2.82-2.98
Se: 0.2411 0.2411 0.2767  1 Ca 2.83, 3 Sm 2.92
Se: 0.2434 0.7751 0.7382  1 Ca 2.82, 2 Sm 2.92, 1 Nd 2.95
Se: 0.7561 0.7561 0.2608  3 Sm 2.81-2.98, 1 Nd 3.01
Sm: 0.6253 0.6253 0.1242  4 Se 2.81-2.82
Sm: 0.0020 0.4938 0.5022  6 Se 2.92-2.98
Sm: 0.4938 0.0020 0.5022  6 Se 2.92-2.98
Sm: 0.0020 0.0020 0.5022  6 Se 2.92-2.98
Ca: 0.3746 0.3746 0.8763  4 Se 2.82-2.83
Nd: 0.0021 0.0021 0.9937  6 Se 2.95-3.01



Computed, not measured: a geometry-optimized Ca3Nd3SmSe8 structure at the GGA-PBE level of DFT.

## Properties
* formation energy from raw total energies: -1921 meV/atom

Cell: 8.4054 8.4047 8.4470 Å, 119.83 90.00 120.00°
Last column: nearest neighbours and their distance in Å.
Sites, in units of the cell vectors:
Se: 0.7524 0.9989 0.2514  1 Sm 2.95, 2 Ca 2.97, 2 Nd 2.99
Se: 0.2466 0.9989 0.2514  1 Sm 2.95, 2 Ca 2.97, 2 Nd 2.99
Se: 0.7523 0.5046 0.2513  1 Sm 2.95, 2 Ca 2.97, 2 Nd 2.99
Se: 0.2476 0.0011 0.7486  1 Sm 2.95, 2 Ca 2.97, 2 Nd 2.99
Se: 0.7518 0.5036 0.7553  3 Ca 2.96, 3 Nd 3.00
Se: 0.7534 0.0011 0.7486  1 Sm 2.95, 2 Ca 2.97, 2 Nd 2.99
Se: 0.2482 0.4964 0.2447  3 Ca 2.96, 3 Nd 3.00
Se: 0.2477 0.4954 0.7487  1 Sm 2.95, 2 Ca 2.97, 2 Nd 2.99
Nd: 0.5000 0.5000 0.5000  6 Se 2.99-3.00
Nd: 0.0000 0.5000 0.5000  6 Se 2.99-3.00
Nd: 0.5000 0.0000 0.5000  6 Se 2.99-3.00
Sm: 0.0000 0.0000 0.5000  6 Se 2.95
Ca: 0.5000 0.5000 0.0000  6 Se 2.96-2.97
Ca: 0.0000 0.5000 0.0000  6 Se 2.96-2.97
Ca: 0.0000 0.0000 0.0000  6 Se 2.96-2.97